Entry 1:
First-principles (GGA-PBE) data for a geometry-optimized Li2PmCu structure, as listed in Alexandria via LeMat-Bulk.

Cell and atoms, written as POSCAR:
```
Li2PmCu
1.0
3.293 0.000 0.000
0.000 3.293 0.000
0.000 0.000 7.284
Li Pm Cu
2 1 1
direct
0.000 0.000 0.824
0.000 0.000 0.176
0.500 0.500 0.500
0.500 0.500 0.000
```

As for the density of states at the Fermi level: 2.33 states/eV per cell. Its energy relative to the elements is 0.1149 eV per atom. Its energy above the most stable polymorph in this dataset is 0.00 eV per formula unit.

Entry 2:
First-principles (GGA-PBE) data for a geometry-optimized Cd2MoP structure, as listed in Alexandria via LeMat-Bulk.

Cell and atoms, written as POSCAR:
```
Cd2MoP
1.0
-3.970 3.326 2.484
3.723 -4.367 0.257
3.195 2.803 1.352
Cd P Mo
2 1 1
direct
0.303 0.697 0.500
0.938 0.062 0.000
0.581 0.419 0.500
0.672 0.328 0.000
```

As for the density of states at the Fermi level: 1.36 states/eV per cell. Its energy relative to the elements is 0.2766 eV per atom.

Among the records above, which one has the lowest density of states at the Fermi level?
Cd2MoP

What is the formula in the second record?
Cd2MoP